Record 1
# GGA-PBE KHSCl2, relaxed
data_KHSCl2
_cell_length_a 5.4807
_cell_length_b 5.4807
_cell_length_c 3.3785
_cell_angle_alpha 90.00
_cell_angle_beta 90.00
_cell_angle_gamma 90.00
_symmetry_space_group_name_H-M 'P 4/m m m'
_symmetry_Int_Tables_number 123
_symmetry_space_group_name_Hall '-P 4 2'
loop_
_atom_site_label
_atom_site_fract_x
_atom_site_fract_y
_atom_site_fract_z
K1 0.0000 0.0000 0.0000
H1 0.5000 0.5000 0.5000
S1 0.5000 0.5000 0.0000
Cl1 0.0000 0.5000 0.5000
# VASP energy in eV per atom: -2.761
# DOS(E_F) in states/eV/atom: 0.50


Record 2
# GGA-PBE KHSCl2, relaxed
data_KHSCl2
_cell_length_a 6.0521
_cell_length_b 6.0521
_cell_length_c 6.6666
_cell_angle_alpha 90.00
_cell_angle_beta 90.00
_cell_angle_gamma 90.00
_symmetry_space_group_name_H-M 'P 4/m m m'
_symmetry_Int_Tables_number 123
_symmetry_space_group_name_Hall '-P 4 2'
loop_
_atom_site_label
_atom_site_fract_x
_atom_site_fract_y
_atom_site_fract_z
K1 0.0000 0.0000 0.0000
H1 0.5000 0.5000 0.5000
S1 0.0000 0.0000 0.5000
Cl1 0.0000 0.5000 0.0000
# VASP energy in eV per atom: -1.930
# DOS(E_F) in states/eV/atom: 1.37


Record 3
# GGA-PBE KSbH2Cl8, relaxed
data_KSbH2Cl8
_cell_length_a 6.7338
_cell_length_b 7.4314
_cell_length_c 8.8489
_cell_angle_alpha 113.79
_cell_angle_beta 91.08
_cell_angle_gamma 109.54
_symmetry_space_group_name_H-M 'P -1'
_symmetry_Int_Tables_number 2
_symmetry_space_group_name_Hall '-P 1'
loop_
_atom_site_label
_atom_site_fract_x
_atom_site_fract_y
_atom_site_fract_z
K1 0.0000 0.0000 0.0000
Sb1 0.0000 0.0000 0.5000
H1 0.4265 0.5455 0.7888
Cl1 0.0620 0.7740 0.2347
Cl2 0.1307 0.8255 0.6338
Cl3 0.3601 0.2543 0.5506
Cl4 0.4795 0.7220 0.9269
# VASP energy in eV per atom: -3.090
# DOS(E_F) in states/eV/atom: 0.00


Record 4
# GGA-PBE K2SbHCl6, relaxed
data_K2SbHCl6
_cell_length_a 6.5529
_cell_length_b 7.8379
_cell_length_c 7.8444
_cell_angle_alpha 96.49
_cell_angle_beta 114.44
_cell_angle_gamma 114.48
_symmetry_space_group_name_H-M 'P 1'
_symmetry_Int_Tables_number 1
_symmetry_space_group_name_Hall 'P 1'
loop_
_atom_site_label
_atom_site_fract_x
_atom_site_fract_y
_atom_site_fract_z
K1 0.0000 0.0000 0.0000
K2 0.0018 0.5631 0.4396
Sb1 0.4844 0.2315 0.6697
H1 0.6409 0.9285 0.3656
Cl1 0.3557 0.9146 0.3519
Cl2 0.4459 0.9816 0.8738
Cl3 0.4489 0.4381 0.4228
Cl4 0.6338 0.5186 0.9581
Cl5 0.8620 0.9366 0.3734
Cl6 0.9398 0.3366 0.7753
# VASP energy in eV per atom: -3.319
# DOS(E_F) in states/eV/atom: 0.00


Record 5
# GGA-PBE KH2SeCl8, relaxed
data_KH2SeCl8
_cell_length_a 6.3328
_cell_length_b 7.8072
_cell_length_c 8.3916
_cell_angle_alpha 66.64
_cell_angle_beta 77.00
_cell_angle_gamma 78.05
_symmetry_space_group_name_H-M 'P -1'
_symmetry_Int_Tables_number 2
_symmetry_space_group_name_Hall '-P 1'
loop_
_atom_site_label
_atom_site_fract_x
_atom_site_fract_y
_atom_site_fract_z
K1 0.0000 0.0000 0.0000
H1 0.2832 0.2927 0.1531
Se1 0.0000 0.5000 0.5000
Cl1 0.1022 0.5446 0.1896
Cl2 0.1663 0.1785 0.5789
Cl3 0.3280 0.6321 0.4850
Cl4 0.3823 0.1419 0.1197
# VASP energy in eV per atom: -2.748


Record 6
# GGA-PBE KSiH2Cl8, relaxed
data_KSiH2Cl8
_cell_length_a 6.5482
_cell_length_b 6.6434
_cell_length_c 8.6941
_cell_angle_alpha 83.19
_cell_angle_beta 81.10
_cell_angle_gamma 66.61
_symmetry_space_group_name_H-M 'P -1'
_symmetry_Int_Tables_number 2
_symmetry_space_group_name_Hall '-P 1'
loop_
_atom_site_label
_atom_site_fract_x
_atom_site_fract_y
_atom_site_fract_z
K1 0.0000 0.0000 0.0000
Si1 0.0000 0.0000 0.5000
H1 0.2560 0.2808 0.2119
Cl1 0.1796 0.2256 0.4696
Cl2 0.2249 0.7918 0.6726
Cl3 0.2372 0.8017 0.3129
Cl4 0.2984 0.3103 0.0602
# VASP energy in eV per atom: -3.201
# DOS(E_F) in states/eV/atom: 0.86


Record 7
# GGA-PBE K2SnHCl5, relaxed
data_K2SnHCl5
_cell_length_a 4.3274
_cell_length_b 18.4612
_cell_length_c 12.8815
_cell_angle_alpha 90.00
_cell_angle_beta 90.00
_cell_angle_gamma 90.00
_symmetry_space_group_name_H-M 'C m c 21'
_symmetry_Int_Tables_number 36
_symmetry_space_group_name_Hall 'C 2c -2'
loop_
_atom_site_label
_atom_site_fract_x
_atom_site_fract_y
_atom_site_fract_z
K1 0.0000 0.1249 0.0000
K2 0.0000 0.1443 0.6674
Sn1 0.0000 0.1726 0.3377
H1 0.0000 0.4835 0.7060
Cl1 0.0000 0.0284 0.3403
Cl2 0.0000 0.3126 0.9882
Cl3 0.0000 0.3201 0.6822
Cl4 0.0000 0.3356 0.3369
Cl5 0.0000 0.4915 0.1112
# VASP energy in eV per atom: -3.396
# DOS(E_F) in states/eV/atom: 0.00


Record 8
# GGA-PBE KSrHCl2, relaxed
data_KSrHCl2
_cell_length_a 5.5291
_cell_length_b 5.5291
_cell_length_c 4.6999
_cell_angle_alpha 90.00
_cell_angle_beta 90.00
_cell_angle_gamma 90.00
_symmetry_space_group_name_H-M 'P 4/m m m'
_symmetry_Int_Tables_number 123
_symmetry_space_group_name_Hall '-P 4 2'
loop_
_atom_site_label
_atom_site_fract_x
_atom_site_fract_y
_atom_site_fract_z
K1 0.0000 0.0000 0.0000
Sr1 0.5000 0.5000 0.5000
H1 0.0000 0.0000 0.5000
Cl1 0.0000 0.5000 0.0000
# VASP energy in eV per atom: -3.038
# DOS(E_F) in states/eV/atom: 0.02


Record 9
# GGA-PBE KSrHCl2, relaxed
data_KSrHCl2
_cell_length_a 5.7387
_cell_length_b 5.7387
_cell_length_c 4.6493
_cell_angle_alpha 90.00
_cell_angle_beta 90.00
_cell_angle_gamma 90.00
_symmetry_space_group_name_H-M 'P 4/m m m'
_symmetry_Int_Tables_number 123
_symmetry_space_group_name_Hall '-P 4 2'
loop_
_atom_site_label
_atom_site_fract_x
_atom_site_fract_y
_atom_site_fract_z
K1 0.0000 0.0000 0.0000
Sr1 0.5000 0.5000 0.5000
H1 0.5000 0.5000 0.0000
Cl1 0.0000 0.5000 0.5000
# VASP energy in eV per atom: -3.554
# DOS(E_F) in states/eV/atom: 0.00


Record 10
# GGA-PBE KTaH2Cl8, relaxed
data_KTaH2Cl8
_cell_length_a 6.7700
_cell_length_b 7.4071
_cell_length_c 8.8103
_cell_angle_alpha 113.77
_cell_angle_beta 90.62
_cell_angle_gamma 110.63
_symmetry_space_group_name_H-M 'P -1'
_symmetry_Int_Tables_number 2
_symmetry_space_group_name_Hall '-P 1'
loop_
_atom_site_label
_atom_site_fract_x
_atom_site_fract_y
_atom_site_fract_z
K1 0.0000 0.0000 0.0000
Ta1 0.0000 0.0000 0.5000
H1 0.4354 0.5444 0.7875
Cl1 0.0584 0.7777 0.2378
Cl2 0.1075 0.8140 0.6276
Cl3 0.3622 0.2461 0.5581
Cl4 0.4837 0.7222 0.9260
# VASP energy in eV per atom: -4.065
# DOS(E_F) in states/eV/atom: 0.00


Record 11
# GGA-PBE KTcH2Cl8, relaxed
data_KTcH2Cl8
_cell_length_a 6.4399
_cell_length_b 7.3797
_cell_length_c 8.0342
_cell_angle_alpha 70.16
_cell_angle_beta 83.64
_cell_angle_gamma 84.08
_symmetry_space_group_name_H-M 'P -1'
_symmetry_Int_Tables_number 2
_symmetry_space_group_name_Hall '-P 1'
loop_
_atom_site_label
_atom_site_fract_x
_atom_site_fract_y
_atom_site_fract_z
K1 0.0000 0.0000 0.0000
Tc1 0.0000 0.5000 0.5000
H1 0.3053 0.2964 0.1694
Cl1 0.1527 0.5555 0.2036
Cl2 0.1688 0.1909 0.5876
Cl3 0.2832 0.6204 0.5650
Cl4 0.3904 0.1393 0.1389
# VASP energy in eV per atom: -3.544
# DOS(E_F) in states/eV/atom: 0.48


The lowest VASP energy belongs to which entry? KTaH2Cl8